# 1
Ba2CaCuAg2F14: relaxed, PBE-GGA.

Geometry as CIF:
```
data_Ba2CaCuAg2F14
_space_group_name_H-M_alt 'P 1'
_space_group_IT_number 1
_cell_length_a 7.6254
_cell_length_b 7.6254
_cell_length_c 15.4024
_cell_angle_alpha 90.81
_cell_angle_beta 90.81
_cell_angle_gamma 42.94
loop_
_space_group_symop_operation_xyz
'x,y,z'
loop_
_atom_site_label
_atom_site_fract_x
_atom_site_fract_y
_atom_site_fract_z
_atom_site_occupancy
Ba1 0.1022 0.2764 0.1267 1
Ba2 0.2764 0.1022 0.6267 1
Ba3 0.7236 0.8978 0.3733 1
Ba4 0.8978 0.7236 0.8733 1
Ca1 0.4089 0.5911 0.2500 1
Ca2 0.5911 0.4089 0.7500 1
Cu1 0.5000 0.5000 0.0000 1
Cu2 0.5000 0.5000 0.5000 1
Ag1 0.0857 0.1560 0.3744 1
Ag2 0.1560 0.0857 0.8744 1
Ag3 0.8440 0.9143 0.1256 1
Ag4 0.9143 0.8440 0.6256 1
F1 0.0464 0.6280 0.2272 1
F2 0.0667 0.8993 0.3434 1
F3 0.1007 0.9333 0.1566 1
F4 0.1123 0.5999 0.0380 1
F5 0.1441 0.3801 0.3994 1
F6 0.1593 0.6779 0.5125 1
F7 0.1914 0.5707 0.7228 1
F8 0.3221 0.8407 0.9875 1
F9 0.3720 0.9536 0.2728 1
F10 0.3801 0.1441 0.8994 1
F11 0.3919 0.5201 0.8883 1
F12 0.4001 0.8877 0.4620 1
F13 0.4293 0.8086 0.7772 1
F14 0.4799 0.6081 0.6117 1
F15 0.5201 0.3919 0.3883 1
F16 0.5707 0.1914 0.2228 1
F17 0.5999 0.1123 0.5380 1
F18 0.6081 0.4799 0.1117 1
F19 0.6199 0.8559 0.1006 1
F20 0.6280 0.0464 0.7272 1
F21 0.6779 0.1593 0.0125 1
F22 0.8086 0.4293 0.2772 1
F23 0.8407 0.3221 0.4875 1
F24 0.8559 0.6199 0.6006 1
F25 0.8877 0.4001 0.9620 1
F26 0.8993 0.0667 0.8434 1
F27 0.9333 0.1007 0.6566 1
F28 0.9536 0.3720 0.7728 1
```

## Properties
formation energy (no corrections)	-2.403	eV/atom

---

# 2
BaCaAgF7: relaxed, PBE-GGA.

Geometry as CIF:
```
data_BaCaAgF7
_space_group_name_H-M_alt 'P 1'
_space_group_IT_number 1
_cell_length_a 5.8518
_cell_length_b 11.0833
_cell_length_c 9.7850
_cell_angle_alpha 90.00
_cell_angle_beta 91.39
_cell_angle_gamma 90.00
loop_
_space_group_symop_operation_xyz
'x,y,z'
loop_
_atom_site_label
_atom_site_fract_x
_atom_site_fract_y
_atom_site_fract_z
_atom_site_occupancy
Ba1 0.2239 0.1505 0.4752 1
Ba2 0.2239 0.3495 0.9752 1
Ba3 0.7761 0.6505 0.0248 1
Ba4 0.7761 0.8495 0.5248 1
Ca1 0.2025 0.5694 0.3571 1
Ca2 0.2025 0.9306 0.8571 1
Ca3 0.7975 0.0694 0.1429 1
Ca4 0.7975 0.4306 0.6429 1
Ag1 0.3030 0.6555 0.7031 1
Ag2 0.3030 0.8445 0.2031 1
Ag3 0.6970 0.1555 0.7969 1
Ag4 0.6970 0.3445 0.2969 1
F1 0.0033 0.7462 0.7744 1
F2 0.0033 0.7538 0.2744 1
F3 0.0871 0.5160 0.1475 1
F4 0.0871 0.9840 0.6475 1
F5 0.1566 0.5035 0.6010 1
F6 0.1566 0.9965 0.1010 1
F7 0.2007 0.7332 0.5148 1
F8 0.2007 0.7668 0.0148 1
F9 0.3897 0.1098 0.8974 1
F10 0.3897 0.3902 0.3974 1
F11 0.4175 0.5575 0.8756 1
F12 0.4175 0.9425 0.3756 1
F13 0.4894 0.6898 0.2712 1
F14 0.4894 0.8102 0.7712 1
F15 0.5106 0.1898 0.2288 1
F16 0.5106 0.3102 0.7288 1
F17 0.5825 0.0575 0.6244 1
F18 0.5825 0.4425 0.1244 1
F19 0.6103 0.6098 0.6026 1
F20 0.6103 0.8902 0.1026 1
F21 0.7993 0.2332 0.9852 1
F22 0.7993 0.2668 0.4852 1
F23 0.8434 0.0035 0.8990 1
F24 0.8434 0.4965 0.3990 1
F25 0.9129 0.0160 0.3525 1
F26 0.9129 0.4840 0.8525 1
F27 0.9967 0.2462 0.7256 1
F28 0.9967 0.2538 0.2256 1
```

## Properties
formation energy (no corrections)	-2.725	eV/atom

---

# 3
Ba2CaGa3Ag12: relaxed, PBE-GGA.

Geometry as CIF:
```
data_Ba2CaGa3Ag12
_space_group_name_H-M_alt 'P 1'
_space_group_IT_number 1
_cell_length_a 8.7003
_cell_length_b 8.7003
_cell_length_c 8.7003
_cell_angle_alpha 62.32
_cell_angle_beta 62.32
_cell_angle_gamma 62.32
loop_
_space_group_symop_operation_xyz
'x,y,z'
loop_
_atom_site_label
_atom_site_fract_x
_atom_site_fract_y
_atom_site_fract_z
_atom_site_occupancy
Ba1 0.1054 0.1054 0.1054 1
Ba2 0.8946 0.8946 0.8946 1
Ca1 0.5000 0.5000 0.5000 1
Ga1 0.0000 0.5000 0.5000 1
Ga2 0.5000 0.0000 0.5000 1
Ga3 0.5000 0.5000 0.0000 1
Ag1 0.0991 0.6361 0.6361 1
Ag2 0.1604 0.1604 0.6262 1
Ag3 0.1604 0.6262 0.1604 1
Ag4 0.3639 0.3639 0.9009 1
Ag5 0.3639 0.9009 0.3639 1
Ag6 0.3738 0.8396 0.8396 1
Ag7 0.6262 0.1604 0.1604 1
Ag8 0.6361 0.0991 0.6361 1
Ag9 0.6361 0.6361 0.0991 1
Ag10 0.8396 0.3738 0.8396 1
Ag11 0.8396 0.8396 0.3738 1
Ag12 0.9009 0.3639 0.3639 1
```

## Properties
DFT formation energy	0.157	eV/atom

---

| no. | electronic total energy (eV per cell) | D(E_F) (states/eV per atom) |
| --- | --- | --- |
| 1 | -179.8 | 0.20 |
| 2 | -188.5 | 0.03 |
| 3 | -46.3 | 0.33 |